# 1
A geometry-optimized CdTeAs2 structure, computed with PBE.

```
CdTeAs2
1.0
-3.4881 2.1414 5.0199
-6.0275 0.8244 2.2229
1.3721 -4.2540 0.7573
As Te Cd
2 1 1
Cartesian
-8.2393 -0.9763 7.9401
-3.9760 -0.9560 4.0600
-2.0359 -0.3221 2.0000
-6.1076 -0.9662 6.0001
```

Theoretical density   6.21 g cm⁻³
Raw formation energy   -0.10 eV/f.u.

# 2
A geometry-optimized ErTh2Mg structure, computed with PBE.

```
ErTh2Mg
1.0
3.4477 -0.0002 0.0001
1.7237 2.9859 0.0001
1.7243 0.9955 11.7670
Er Th Mg
1 2 1
Cartesian
3.4468 1.9900 0.0078
1.7258 0.9964 8.7996
1.7230 0.9948 2.9666
3.4479 1.9906 5.8770
```

Theoretical density   8.99 g cm⁻³
Calculated formation energy   98 meV per atom

# 3
A geometry-optimized ZrWCl2 structure, computed with PBE.

```
ZrWCl2
1.0
-9.1757 3.3220 -1.7287
-8.9905 1.1289 -4.0142
-9.8476 0.2904 -1.0766
Zr W Cl
1 1 2
Cartesian
-21.0192 3.5574 -5.1168
-14.1028 2.3868 -3.4331
-0.5740 0.0971 -0.1397
-6.3248 1.0704 -1.5397
```

Theoretical density   6.77 g cm⁻³
Raw formation energy   -2.03 eV/f.u.

# 4
A geometry-optimized Er2MgMo structure, computed with PBE.

```
Er2MgMo
1.0
3.4988 0.0000 0.0000
0.0000 3.4988 0.0000
0.0000 0.0000 7.9769
Mo Mg Er
1 1 2
Cartesian
1.7494 1.7494 0.0000
1.7494 1.7494 3.9884
0.0000 0.0000 6.3057
0.0000 0.0000 1.6712
```

Theoretical density   7.73 g cm⁻³
Calculated formation energy   141 meV per atom

# 5
A geometry-optimized Np2Tl2CoS6 structure, computed with PBE.

```
Np2Tl2CoS6
1.0
-2.7765 4.2357 -4.0073
-3.3334 -5.1531 2.0106
-0.4101 4.3436 6.7388
Np Tl Co S
2 2 1 6
Cartesian
-3.3527 0.1506 3.3725
-3.1673 3.2756 1.3695
-2.8731 2.6081 -2.9640
-3.2369 -3.5255 0.9673
-0.2050 2.1718 3.3694
-4.9526 2.2734 3.0886
-1.7251 1.3289 5.1202
-1.5674 1.1528 1.6535
-1.5527 4.2352 3.2574
-4.7949 2.0973 -0.3782
-4.9673 -0.8090 1.4847
```

Theoretical density   6.75 g cm⁻³
Raw formation energy   -8.74 eV/f.u.

# 6
A geometry-optimized Fe3POs structure, computed with PBE.

```
Fe3POs
1.0
-2.3763 -0.7072 -3.1675
-1.3621 -3.3459 1.7689
-2.9458 2.1176 1.7372
P Os Fe
1 1 3
Cartesian
0.0000 0.0000 0.0000
-3.3421 -0.9678 0.1693
-0.6810 -1.6730 0.8844
-1.4729 1.0588 0.8686
-1.1881 -0.3536 -1.5837
```

Theoretical density   9.92 g cm⁻³
Calculated formation energy   860 meV per atom